Record 1
First-principles (PBE-GGA) data for BaNaMo2 after structural relaxation, as listed in the Alexandria database.

abc: 8.760 8.760 5.220
angles: 90.00 90.00 90.00
Space group I-42d (No. 122)
Symmetry-distinct sites (fractional):
Ba (0.000, 0.000, 0.000) x4
Na (0.000, 0.000, 0.500) x4
Mo (0.218, 0.250, 0.625) x8

Summary:
- Distance to the lowest polymorph of the same formula: 0 meV per atom


Record 2
First-principles (PBE-GGA) data for NbAlCd after structural relaxation, as listed in the Alexandria database.

abc: 3.711 3.711 8.652
angles: 90.00 90.00 90.00
Space group P4/nmm (No. 129, origin choice 2)
Symmetry-distinct sites (fractional):
Nb (0.250, 0.250, 0.174) x2
Al (0.250, 0.250, 0.873) x2
Cd (0.250, 0.250, 0.574) x2

Summary:
- Total DFT energy (no corrections): -4.579 eV/atom


Record 3
First-principles (PBE-GGA) data for CeAlPd14 after structural relaxation, as listed in the Alexandria database.

abc: 5.728 5.728 7.765
angles: 90.00 90.00 90.00
Space group P4/mmm (No. 123)
Symmetry-distinct sites (fractional):
Ce (0.000, 0.000, 0.000) x1
Al (0.500, 0.500, 0.000) x1
Pd (0.000, 0.000, 0.500) x1
Pd (0.000, 0.500, 0.000) x2
Pd (0.000, 0.500, 0.500) x2
Pd (0.255, 0.255, 0.249) x8
Pd (0.500, 0.500, 0.500) x1

Summary:
- Total DFT energy (no corrections): -5.505 eV/atom


Record 4
First-principles (PBE-GGA) data for YHRh3 after structural relaxation, as listed in the Alexandria database.

abc: 4.799 5.875 5.032
angles: 90.00 90.75 90.00
Space group P2_1/m (No. 11)
Symmetry-distinct sites (fractional):
Y (0.229, 0.250, 0.165) x2
H (0.083, 0.250, 0.704) x2
Rh (0.267, 0.510, 0.660) x4
Rh (0.272, 0.750, 0.196) x2

Summary:
- Distance to the lowest polymorph of the same formula: 110 meV per atom


Record 5
First-principles (PBE-GGA) data for Sm3GeCl3 after structural relaxation, as listed in the Alexandria database.

abc: 7.0535 7.0535 30.4631
angles: 90.00 90.00 120.00
Space group R-3 (No. 148, hexagonal axes)
Symmetry-distinct sites (fractional):
Sm (0.0000, 0.3358, 0.4451) x18
Ge (0.0000, 0.0000, 0.1667) x6
Cl (0.0000, 0.3357, 0.6084) x18

Summary:
- E_form (uncorrected): -1.583 eV/atom


Record 6
First-principles (PBE-GGA) data for NaYPb4 after structural relaxation, as listed in the Alexandria database.

abc: 3.677 4.747 10.521
angles: 90.00 98.19 90.00
Space group P2/m (No. 10)
Symmetry-distinct sites (fractional):
Na (0.000, 0.000, 0.000) x1
Y (0.500, 0.500, 0.500) x1
Pb (0.020, 0.000, 0.342) x2
Pb (0.412, 0.500, 0.821) x2

Summary:
- Distance to the lowest polymorph of the same formula: 0 meV per atom


Record 7
First-principles (PBE-GGA) data for LaVAg2 after structural relaxation, as listed in the Alexandria database.

abc: 4.409 4.409 20.226
angles: 90.00 90.00 90.00
Space group I-42d (No. 122)
Symmetry-distinct sites (fractional):
La (0.000, 0.000, 0.000) x4
V (0.000, 0.000, 0.500) x4
Ag (0.184, 0.250, 0.625) x8

Summary:
- Distance to the lowest polymorph of the same formula: 316 meV per atom


Record 8
First-principles (PBE-GGA) data for SmBi2Pb after structural relaxation, as listed in the Alexandria database.

abc: 4.7987 4.7987 21.6048
angles: 90.00 90.00 120.00
Space group R3m (No. 160, hexagonal axes)
Symmetry-distinct sites (fractional):
Sm (0.0000, 0.0000, 0.0000) x3
Bi (0.0000, 0.0000, 0.4106) x3
Bi (0.0000, 0.0000, 0.5887) x3
Pb (0.0000, 0.0000, 0.8280) x3

Summary:
- Distance to the lowest polymorph of the same formula: 129 meV per atom


Record 9
First-principles (PBE-GGA) data for CsCdSb2Mo after structural relaxation, as listed in the Alexandria database.

abc: 6.084 6.084 5.904
angles: 90.00 90.00 90.00
Space group P4/mmm (No. 123)
Symmetry-distinct sites (fractional):
Cs (0.000, 0.000, 0.000) x1
Cd (0.000, 0.000, 0.500) x1
Sb (0.000, 0.500, 0.000) x2
Mo (0.500, 0.500, 0.500) x1

Summary:
- E_form (uncorrected): 2.382 eV/atom


Record 10
First-principles (PBE-GGA) data for CeMgSb after structural relaxation, as listed in the Alexandria database.

abc: 10.615 4.194 7.596
angles: 90.00 106.71 90.00
Space group C2/m (No. 12)
Symmetry-distinct sites (fractional):
Ce (0.133, 0.000, 0.092) x4
Mg (0.162, 0.000, 0.567) x4
Sb (0.045, 0.500, 0.758) x4

Summary:
- E_form (uncorrected): -0.447 eV/atom
- Distance to the lowest polymorph of the same formula: 76 meV per atom


Record 11
First-principles (PBE-GGA) data for LiSb2TeIr after structural relaxation, as listed in the Alexandria database.

abc: 5.041 5.041 6.005
angles: 90.00 90.00 90.00
Space group P4/mmm (No. 123)
Symmetry-distinct sites (fractional):
Li (0.000, 0.000, 0.000) x1
Sb (0.000, 0.500, 0.500) x2
Te (0.500, 0.500, 0.000) x1
Ir (0.500, 0.500, 0.500) x1

Summary:
- E_form (uncorrected): 0.233 eV/atom
- Distance to the lowest polymorph of the same formula: 0 meV per atom


Record 12
First-principles (PBE-GGA) data for TiAlAg after structural relaxation, as listed in the Alexandria database.

abc: 4.201 12.061 3.943
angles: 90.00 90.00 90.00
Space group Cmcm (No. 63)
Symmetry-distinct sites (fractional):
Ti (0.000, 0.081, 0.250) x4
Al (0.000, 0.420, 0.250) x4
Ag (0.000, 0.255, 0.750) x4

Summary:
- Total DFT energy (no corrections): -5.025 eV/atom


Number 1: mass density 5.84 g cm⁻³, spin magnetization 1.37 μB per formula unit. Number 2: mass density 6.47 g cm⁻³, spin magnetization 0.00 μB per formula unit. Number 3: mass density 10.80 g cm⁻³, spin magnetization 0.00 μB per formula unit. Number 4: mass density 9.33 g cm⁻³, spin magnetization 0.00 μB per formula unit. Number 5: mass density 4.78 g cm⁻³, spin magnetization 0.00 μB per formula unit. Number 6: mass density 8.59 g cm⁻³, spin magnetization 0.00 μB per formula unit. Number 7: mass density 6.85 g cm⁻³, spin magnetization 3.58 μB per formula unit. Number 8: mass density 8.97 g cm⁻³, spin magnetization 0.00 μB per formula unit. Number 9: mass density 4.44 g cm⁻³, spin magnetization 0.60 μB per formula unit. Number 10: mass density 5.87 g cm⁻³, spin magnetization 0.78 μB per formula unit. Number 11: mass density 6.20 g cm⁻³, spin magnetization 0.00 μB per formula unit. Number 12: mass density 6.07 g cm⁻³, spin magnetization 0.00 μB per formula unit.